i.
DFT (PBE) results for crystalline Si5Se3 at its relaxed geometry.

Results
space group: P1, No. 1
crystal system: triclinic

abc: 8.022 8.023 7.965
angles: 96.46 96.45 141.04
Fractional positions:
Si 0.056 0.542 0.500
Si 0.579 0.073 0.500
Si 0.802 0.054 0.738
Si 0.333 0.071 0.283
Si 0.843 0.559 0.273
Si 0.312 0.576 0.759
Si 0.551 0.289 0.717
Si 0.564 0.816 0.262
Si 0.054 0.317 0.241
Si 0.070 0.786 0.727
Se 0.550 0.574 0.000
Se 0.051 0.074 0.000
Se 0.313 0.307 0.500
Se 0.800 0.821 0.500
Se 0.301 0.813 0.986
Se 0.815 0.327 0.014

ii.
DFT (PBE) results for crystalline Si5Se3 at its relaxed geometry.

Results
space group: Cmmm, No. 65
crystal system: orthorhombic

abc: 5.350 5.350 5.183
angles: 90.00 90.00 105.43
Fractional positions:
Si 0.000 0.000 0.000
Si 0.000 0.500 0.000
Si 0.500 0.000 0.000
Si 0.211 0.211 0.500
Si 0.789 0.789 0.500
Se 0.500 0.500 0.000
Se 0.708 0.292 0.500
Se 0.292 0.708 0.500

What are the relative energies? In eV/atom: i 0.000; ii 0.300.

i.
DFT (PBE) results for crystalline Si3Se4 at its relaxed geometry.

Results
space group: I4/mmm, No. 139
crystal system: tetragonal

abc: 12.985 12.985 12.985
angles: 164.34 164.34 22.21
Fractional positions:
Si 0.000 0.000 0.000
Si 0.650 0.650 0.000
Si 0.350 0.350 0.000
Se 0.823 0.823 0.000
Se 0.177 0.177 0.000
Se 0.559 0.559 0.000
Se 0.441 0.441 0.000

ii.
DFT (PBE) results for crystalline Si3Se4 at its relaxed geometry.

Results
space group: Pm-3m, No. 221
crystal system: cubic

abc: 5.236 5.236 5.236
angles: 90.00 90.00 90.00
Fractional positions:
Si 0.000 0.500 0.000
Si 0.000 0.000 0.500
Si 0.500 0.000 0.000
Se 0.000 0.000 0.000
Se 0.000 0.500 0.500
Se 0.500 0.000 0.500
Se 0.500 0.500 0.000

What are the relative energies? In eV/atom: i 0.000; ii 0.027.

i.
DFT (PBE) results for crystalline Si3Se5 at its relaxed geometry.

Results
space group: P4/mmm, No. 123
crystal system: tetragonal

abc: 3.199 3.199 17.003
angles: 90.00 90.00 90.00
Fractional positions:
Si 0.000 0.000 0.500
Si 0.500 0.500 0.133
Si 0.500 0.500 0.867
Se 0.000 0.000 0.000
Se 0.000 0.000 0.207
Se 0.000 0.000 0.793
Se 0.500 0.500 0.403
Se 0.500 0.500 0.597

ii.
DFT (PBE) results for crystalline Si3Se5 at its relaxed geometry.

Results
space group: P6_3/mcm, No. 193
crystal system: hexagonal

abc: 8.769 8.769 5.287
angles: 90.00 90.00 120.00
Fractional positions:
Si 0.702 0.000 0.250
Si 0.298 0.000 0.750
Si 0.000 0.702 0.250
Si 0.298 0.298 0.250
Si 0.702 0.702 0.750
Si 0.000 0.298 0.750
Se 0.333 0.667 0.000
Se 0.667 0.333 0.500
Se 0.667 0.333 0.000
Se 0.333 0.667 0.500
Se 0.264 0.000 0.250
Se 0.736 0.000 0.750
Se 0.000 0.264 0.250
Se 0.736 0.736 0.250
Se 0.264 0.264 0.750
Se 0.000 0.736 0.750

What are the relative energies? In eV/atom: i 0.118; ii 0.000.

i.
DFT (PBE) results for crystalline Si3Se5 at its relaxed geometry.

Results
space group: Cm, No. 8
crystal system: monoclinic

abc: 8.969 8.969 13.039
angles: 75.00 75.00 139.01
Fractional positions:
Si 0.741 0.874 0.028
Si 0.374 0.241 0.028
Si 0.565 0.065 0.967
Si 0.642 0.142 0.179
Si 0.070 0.379 0.632
Si 0.879 0.570 0.632
Se 0.400 0.900 0.457
Se 0.570 0.070 0.760
Se 0.400 0.689 0.238
Se 0.129 0.221 0.568
Se 0.888 0.602 0.814
Se 0.351 0.474 0.043
Se 0.721 0.629 0.568
Se 0.189 0.900 0.238
Se 0.974 0.851 0.043
Se 0.102 0.388 0.814

ii.
DFT (PBE) results for crystalline Si3Se5 at its relaxed geometry.

Results
space group: Cmmm, No. 65
crystal system: orthorhombic

abc: 5.349 5.349 6.690
angles: 90.00 90.00 93.83
Fractional positions:
Si 0.500 0.500 0.000
Si 0.689 0.311 0.500
Si 0.311 0.689 0.500
Se 0.000 0.000 0.000
Se 0.000 0.500 0.000
Se 0.500 0.000 0.000
Se 0.247 0.247 0.500
Se 0.753 0.753 0.500

What are the relative energies? In eV/atom: i 0.000; ii 0.518.

i.
DFT (PBE) results for crystalline Sm2SiSe at its relaxed geometry.

Results
space group: R-3m, No. 166
crystal system: trigonal

abc: 4.192 4.192 7.360
angles: 73.45 73.45 60.00
Fractional positions:
Si 0.000 0.000 0.000
Se 0.500 0.500 0.500
Sm 0.254 0.254 0.239
Sm 0.746 0.746 0.761

ii.
DFT (PBE) results for crystalline Sm2SiSe at its relaxed geometry.

Results
space group: I4_1/amd, No. 141
crystal system: tetragonal

abc: 5.925 5.925 11.937
angles: 90.00 90.00 90.00
Fractional positions:
Sm 0.750 0.000 0.878
Sm 0.250 0.000 0.122
Sm 0.750 0.500 0.622
Sm 0.250 0.500 0.378
Sm 0.750 0.500 0.128
Sm 0.250 0.500 0.872
Sm 0.750 0.000 0.372
Sm 0.250 0.000 0.628
Si 0.250 0.500 0.625
Si 0.750 0.500 0.375
Si 0.250 0.000 0.875
Si 0.750 0.000 0.125
Se 0.250 0.000 0.375
Se 0.750 0.000 0.625
Se 0.250 0.500 0.125
Se 0.750 0.500 0.875

iii.
DFT (PBE) results for crystalline Sm2SiSe at its relaxed geometry.

Results
space group: R3m, No. 160
crystal system: trigonal

abc: 4.146 4.146 7.637
angles: 74.25 74.25 60.00
Fractional positions:
Sm 0.077 0.077 0.769
Sm 0.257 0.257 0.229
Si 0.668 0.668 0.997
Se 0.498 0.498 0.505

iv.
DFT (PBE) results for crystalline Sm2SiSe at its relaxed geometry.

Results
space group: Cmcm, No. 63
crystal system: orthorhombic

abc: 4.043 4.264 11.585
angles: 100.60 90.00 90.00
Fractional positions:
Sm 0.750 0.674 0.348
Sm 0.250 0.326 0.652
Sm 0.750 0.936 0.872
Sm 0.250 0.064 0.128
Si 0.250 0.462 0.923
Si 0.750 0.538 0.077
Se 0.250 0.193 0.385
Se 0.750 0.807 0.615

What are the relative energies? In eV/atom: i 0.026; ii 0.000; iii 0.131; iv 0.015.

i.
DFT (PBE) results for crystalline Sm3SiSe2 at its relaxed geometry.

Results
space group: C2/c, No. 15
crystal system: monoclinic

abc: 7.256 7.280 7.280
angles: 119.78 99.73 99.73
Fractional positions:
Sm 0.000 0.184 0.342
Sm 0.500 0.342 0.184
Sm 0.000 0.500 0.000
Sm 0.000 0.816 0.658
Sm 0.500 0.000 0.500
Sm 0.500 0.658 0.816
Si 0.250 0.586 0.414
Si 0.750 0.414 0.586
Se 0.250 0.917 0.083
Se 0.250 0.247 0.753
Se 0.750 0.083 0.917
Se 0.750 0.753 0.247

ii.
DFT (PBE) results for crystalline Sm3SiSe2 at its relaxed geometry.

Results
space group: Immm, No. 71
crystal system: orthorhombic

abc: 4.206 5.921 7.283
angles: 113.98 106.78 90.00
Fractional positions:
Sm 0.841 0.341 0.182
Sm 0.159 0.659 0.818
Sm 0.500 0.000 0.500
Si 0.500 0.500 0.500
Se 0.832 0.832 0.163
Se 0.168 0.168 0.837

What are the relative energies? In eV/atom: i 0.000; ii 0.006.